No. 1
VASP calculation (PBE+U) on K2AlCoO4 after structural relaxation.

Output
Total magnetic moment (μB/f.u.): 4.01
Electronic total energy (eV/atom): -5.577
Volume (Å³ per cell): 292.1
Symmetry: Fddd, No. 70

Cell lengths 5.0534, 6.4451, 10.0713 Å; angles 84.36, 75.47, 66.92 degrees
Closest atoms and distances in Å follow each position.
Sites, in units of the cell vectors:
Co  0.5000  0.0000  0.0000  4 O 1.90
Co  0.2500  0.5000  0.5000  4 O 1.90
Al  0.0000  0.0000  0.0000  4 O 1.78
Al  0.7500  0.5000  0.5000  4 O 1.78
O  0.1124  0.3297  0.4106  1 Al 1.78, 1 Co 1.90
O  0.8527  0.6703  0.5894  1 Al 1.78, 1 Co 1.90
O  0.1921  0.1703  0.9106  1 Al 1.78, 1 Co 1.90
O  0.8973  0.8297  0.9106  1 Al 1.78, 1 Co 1.90
O  0.6376  0.1703  0.0894  1 Al 1.78, 1 Co 1.90
O  0.4770  0.6703  0.4106  1 Al 1.78, 1 Co 1.90
O  0.2730  0.8297  0.0894  1 Al 1.78, 1 Co 1.90
O  0.5579  0.3297  0.5894  1 Al 1.78, 1 Co 1.90
K  0.8227  0.0000  0.3545  8 O 3.01-3.31
K  0.1773  0.0000  0.6455  8 O 3.01-3.31
K  0.5727  0.5000  0.8545  8 O 3.01-3.31
K  0.9273  0.5000  0.1455  8 O 3.01-3.31

No. 2
VASP calculation (PBE+U) on KAlCoO3 after structural relaxation.

Output
Total magnetic moment (μB/f.u.): 3.00
Electronic total energy (eV/atom): -6.073
Volume (Å³ per cell): 148.2
DOS(E_F) (states/eV/atom): 0.000
Symmetry: Cmcm, No. 63

Cell lengths 5.3357, 5.4409, 5.7844 Å; angles 118.05, 90.00, 90.00 degrees
Closest atoms and distances in Å follow each position.
Sites, in units of the cell vectors:
O  0.0000  0.2280  0.0000  2 Al 1.92, 2 Co 2.13
O  0.5000  0.7720  0.0000  2 Al 1.92, 2 Co 2.13
O  0.7500  0.7666  0.5333  1 Al 1.76, 1 Co 1.96
O  0.0000  0.7720  0.0000  2 Al 1.92, 2 Co 2.13
O  0.2500  0.2334  0.4667  1 Al 1.76, 1 Co 1.96
O  0.5000  0.2280  0.0000  2 Al 1.92, 2 Co 2.13
Co  0.7500  0.5742  0.1485  5 O 1.96-2.13
Co  0.2500  0.4258  0.8515  5 O 1.96-2.13
K  0.7500  0.2550  0.5100  4 O 2.68-2.72
K  0.2500  0.7450  0.4900  4 O 2.68-2.72
Al  0.7500  0.9393  0.8787  5 O 1.76-1.92
Al  0.2500  0.0607  0.1213  5 O 1.76-1.92

No. 3
VASP calculation (PBE+U) on KAlCoP2O8 after structural relaxation.

Output
Total magnetic moment (μB/f.u.): 3.00
Electronic total energy (eV/atom): -6.953
Volume (Å³ per cell): 779.5
DOS(E_F) (states/eV/atom): 0.000
Symmetry: Cc, No. 9

Cell lengths 8.8291, 9.4754, 9.4754 Å; angles 90.96, 97.41, 82.59 degrees
Closest atoms and distances in Å follow each position.
Sites, in units of the cell vectors:
Al  0.5458  0.2989  0.4452  4 O 1.74-1.79
Al  0.3891  0.8075  0.0714  4 O 1.75-1.78
Al  0.8891  0.9286  0.1925  4 O 1.75-1.78
Al  0.0458  0.5548  0.7011  4 O 1.74-1.79
O  0.5038  0.1767  0.1004  1 P 1.52
O  0.6159  0.0228  0.8307  1 P 1.54
O  0.9116  0.4293  0.6883  1 P 1.57
O  0.8267  0.2521  0.9819  1 P 1.54
O  0.9656  0.8538  0.3604  1 P 1.57
O  0.4825  0.5464  0.6709  1 P 1.53
O  0.5174  0.1310  0.3624  1 P 1.57
O  0.9770  0.0812  0.1712  1 P 1.58, 1 Al 1.75
O  0.4770  0.8288  0.9188  1 P 1.58, 1 Al 1.75
O  0.0948  0.6011  0.3239  1 P 1.53
O  0.7350  0.5294  0.2151  1 P 1.53
O  0.4134  0.9522  0.1913  1 P 1.56
O  0.0380  0.3352  0.1597  1 P 1.54
O  0.9789  0.1575  0.6477  1 P 1.53
O  0.4116  0.3117  0.5707  1 P 1.57
O  0.9134  0.8087  0.0478  1 P 1.56
O  0.5380  0.8403  0.6648  1 P 1.54
O  0.1949  0.7839  0.0252  1 P 1.55
O  0.5120  0.4370  0.3176  1 P 1.58, 1 Al 1.77
O  0.4656  0.6396  0.1462  1 P 1.57
O  0.0174  0.6376  0.8690  1 P 1.57
O  0.3267  0.0181  0.7479  1 P 1.54
O  0.2350  0.7849  0.4706  1 P 1.53
O  0.9825  0.3291  0.4536  1 P 1.53
O  0.7299  0.2855  0.5394  1 P 1.55, 1 Al 1.74
O  0.0120  0.6824  0.5630  1 P 1.58, 1 Al 1.77
O  0.5948  0.6761  0.3989  1 P 1.53
O  0.2299  0.4606  0.7145  1 P 1.55, 1 Al 1.74
O  0.1159  0.1693  0.9772  1 P 1.54
O  0.0038  0.8996  0.8233  1 P 1.52
O  0.6949  0.9748  0.2161  1 P 1.55
O  0.4789  0.3523  0.8425  1 P 1.53
P  0.0822  0.7259  0.4275  4 O 1.53-1.58
P  0.4854  0.9307  0.7902  4 O 1.54-1.58
P  0.9032  0.2999  0.5824  4 O 1.53-1.57
P  0.4032  0.4176  0.7001  4 O 1.53-1.57
P  0.0332  0.7871  0.9395  4 O 1.52-1.57
P  0.9854  0.2098  0.0693  4 O 1.54-1.58
P  0.5332  0.0605  0.2129  4 O 1.52-1.57
P  0.5822  0.5725  0.2741  4 O 1.53-1.58
K  0.2137  0.0881  0.4489  7 O 2.86-3.15
K  0.7137  0.5511  0.9119  7 O 2.86-3.15
K  0.2821  0.4110  0.0572  5 O 2.66-2.92
K  0.7821  0.9428  0.5890  5 O 2.66-2.92
Co  0.6215  0.1952  0.9378  4 O 1.91-1.99
Co  0.1215  0.0622  0.8048  4 O 1.91-1.99
Co  0.9465  0.4625  0.2958  4 O 1.93-1.96
Co  0.4465  0.7042  0.5375  4 O 1.93-1.96

Please write out number 2 again, unchanged.
VASP calculation (PBE+U) on KAlCoO3 after structural relaxation.

Output
Total magnetic moment (μB/f.u.): 3.00
Electronic total energy (eV/atom): -6.073
Volume (Å³ per cell): 148.2
DOS(E_F) (states/eV/atom): 0.000
Symmetry: Cmcm, No. 63

Cell lengths 5.3357, 5.4409, 5.7844 Å; angles 118.05, 90.00, 90.00 degrees
Closest atoms and distances in Å follow each position.
Sites, in units of the cell vectors:
O  0.0000  0.2280  0.0000  2 Al 1.92, 2 Co 2.13
O  0.5000  0.7720  0.0000  2 Al 1.92, 2 Co 2.13
O  0.7500  0.7666  0.5333  1 Al 1.76, 1 Co 1.96
O  0.0000  0.7720  0.0000  2 Al 1.92, 2 Co 2.13
O  0.2500  0.2334  0.4667  1 Al 1.76, 1 Co 1.96
O  0.5000  0.2280  0.0000  2 Al 1.92, 2 Co 2.13
Co  0.7500  0.5742  0.1485  5 O 1.96-2.13
Co  0.2500  0.4258  0.8515  5 O 1.96-2.13
K  0.7500  0.2550  0.5100  4 O 2.68-2.72
K  0.2500  0.7450  0.4900  4 O 2.68-2.72
Al  0.7500  0.9393  0.8787  5 O 1.76-1.92
Al  0.2500  0.0607  0.1213  5 O 1.76-1.92